1.
## NaCaBAs2 (SCAN)

Data for a crystal of NaCaBAs2 relaxed with PBEsol.

Unit cell a=5.262 b=5.262 c=5.433 alpha=90.00 beta=90.00 gamma=90.00
Space group P4/mmm (No. 123)
One atom of each set of equivalent atoms:
Na (0.000, 0.000, 0.000)
Ca (0.000, 0.000, 0.500)
B (0.500, 0.500, 0.000)
As (0.000, 0.500, 0.500)

The value obtained for the total energy is -54.90 eV per cell.

2.
## CdBAs2 (SCAN)

Data for a crystal of CdBAs2 relaxed with PBEsol.

Unit cell a=6.463 b=6.463 c=6.463 alpha=90.00 beta=90.00 gamma=90.00
Space group Fm-3m (No. 225)
One atom of each set of equivalent atoms:
Cd (0.000, 0.000, 0.000)
B (0.000, 0.000, 0.500)
As (0.250, 0.250, 0.250)

The value obtained for the energy above the most stable polymorph in this dataset is 1.012 eV per atom. The value obtained for the total energy is -294.71 eV per cell.

3.
## CdBAs2 (SCAN)

Data for a crystal of CdBAs2 relaxed with PBEsol.

Unit cell a=5.609 b=5.609 c=9.743 alpha=90.00 beta=90.00 gamma=90.00
Space group I-42d (No. 122)
One atom of each set of equivalent atoms:
Cd (0.000, 0.000, 0.000)
B (0.000, 0.000, 0.500)
As (0.172, 0.250, 0.625)

The value obtained for the energy above the most stable polymorph in this dataset is 0.000 eV per atom. The value obtained for the total energy is -310.90 eV per cell.

4.
## CdBAsP2 (SCAN)

Data for a crystal of CdBAsP2 relaxed with PBEsol.

Unit cell a=4.051 b=4.051 c=4.800 alpha=90.00 beta=90.00 gamma=90.00
Space group P4/mmm (No. 123)
One atom of each set of equivalent atoms:
Cd (0.000, 0.000, 0.000)
B (0.500, 0.500, 0.500)
As (0.500, 0.500, 0.000)
P (0.000, 0.500, 0.500)

The value obtained for the total energy is -74.62 eV per cell.

5.
## CdReB2As (SCAN)

Data for a crystal of CdReB2As relaxed with PBEsol.

Unit cell a=4.047 b=4.047 c=5.345 alpha=90.00 beta=90.00 gamma=90.00
Space group P4/mmm (No. 123)
One atom of each set of equivalent atoms:
Cd (0.000, 0.000, 0.000)
Re (0.000, 0.000, 0.500)
B (0.000, 0.500, 0.500)
As (0.500, 0.500, 0.000)

The value obtained for the total energy is -129.97 eV per cell.

6.
## B2AsCl (SCAN)

Data for a crystal of B2AsCl relaxed with PBEsol.

Unit cell a=5.894 b=5.894 c=5.894 alpha=90.00 beta=90.00 gamma=90.00
Space group Fm-3m (No. 225)
One atom of each set of equivalent atoms:
B (0.250, 0.250, 0.250)
As (0.000, 0.000, 0.000)
Cl (0.000, 0.000, 0.500)

The value obtained for the uncorrected formation energy is 1872 meV per atom. The value obtained for the total energy is -142.15 eV per cell.